DFT (PBE) results for crystalline HoAg5Se4 at its relaxed geometry.

Structure (POSCAR):
```
HoAg5Se4
1.0
-3.057 -1.644 -2.440
5.055 -5.138 -2.872
-2.740 -1.311 8.005
Ho Ag Se
1 5 4
Cartesian
-1.528 -0.822 -1.220
-3.980 -2.444 2.945
-1.290 -5.178 1.417
0.549 -2.915 1.277
3.238 -5.649 -0.251
0.999 -3.391 -2.656
3.740 -3.801 -2.124
1.480 -5.398 1.783
-2.222 -2.695 0.911
1.315 -1.337 -0.747
```

Properties
As for the total magnetization: 0.0 μB per cell. Its uncorrected formation energy is -4.7 eV per formula unit. Its space group is Immm. As for the mass density: 7.0 g/cm3.